A relaxed structure of Ba4Pu3CoO12, computed with PBE with a Hubbard U.

Output
As for the space group: Im-3m (229). The value obtained for the total energy is -0.62043 Ry per atom.

a b c (Å): 7.4945 7.4945 7.4945
angles (deg): 109.47 109.47 109.47
Last column: nearest neighbours and their distance in Å.
Sites, in units of the cell vectors:
Ba (0.5000, 0.0000, 0.0000)  12 O 3.06
Ba (0.0000, 0.5000, 0.0000)  12 O 3.06
Ba (0.5000, 0.5000, 0.5000)  12 O 3.06
O (0.2600, 0.2600, 0.0000)  1 Pu 2.08, 1 Co 2.25
Pu (0.0000, 0.5000, 0.5000)  6 O 2.08-2.16
O (0.7400, 0.7400, 0.0000)  1 Pu 2.08, 1 Co 2.25
O (0.2500, 0.7500, 0.5000)  2 Pu 2.16
Pu (0.5000, 0.0000, 0.5000)  6 O 2.08-2.16
Co (0.0000, 0.0000, 0.0000)  6 O 2.25
O (0.2500, 0.5000, 0.7500)  2 Pu 2.16
O (0.7400, 0.0000, 0.7400)  1 Pu 2.08, 1 Co 2.25
O (0.7500, 0.5000, 0.2500)  2 Pu 2.16
Pu (0.5000, 0.5000, 0.0000)  6 O 2.08-2.16
O (0.2600, 0.0000, 0.2600)  1 Pu 2.08, 1 Co 2.25
O (0.5000, 0.2500, 0.7500)  2 Pu 2.16
O (0.5000, 0.7500, 0.2500)  2 Pu 2.16
O (0.0000, 0.7400, 0.7400)  1 Pu 2.08, 1 Co 2.25
Ba (0.0000, 0.0000, 0.5000)  12 O 3.06
O (0.0000, 0.2600, 0.2600)  1 Pu 2.08, 1 Co 2.25
O (0.7500, 0.2500, 0.5000)  2 Pu 2.16